# 1
Material: La5Tb3Sm2
Method: DFT, GGA-PBE
State: relaxed

Lattice parameters (Å, degrees): 9.2798 9.2798 10.2223 108.65 108.65 107.11
Closest atoms and distances in Å follow each position.
Sites, in units of the cell vectors:
La: 0.0171 0.9829 0.7500  1 La 3.10, 2 Sm 3.46
La: 0.1232 0.3819 0.7540  3 Tb 3.46-3.84, 3 La 3.51-3.59, 1 Sm 3.83
La: 0.2249 0.7751 0.7500  1 La 3.10, 2 Tb 3.45
La: 0.3819 0.1232 0.2540  3 Tb 3.46-3.84, 3 La 3.51-3.59, 1 Sm 3.83
La: 0.4746 0.5254 0.2500  1 Tb 3.07
La: 0.5254 0.4746 0.7500  1 Tb 3.07
La: 0.6181 0.8768 0.7460  3 Tb 3.46-3.84, 3 La 3.51-3.59, 1 Sm 3.83
La: 0.7751 0.2249 0.2500  1 La 3.10, 2 Tb 3.45
La: 0.8768 0.6181 0.2460  3 Tb 3.46-3.84, 3 La 3.51-3.59, 1 Sm 3.83
La: 0.9829 0.0171 0.2500  1 La 3.10, 2 Sm 3.46
Tb: 0.2224 0.4743 0.4439  1 Sm 3.29, 5 La 3.45-3.62, 1 Tb 3.57
Tb: 0.2687 0.7313 0.2500  1 La 3.07, 2 Sm 3.40
Tb: 0.4743 0.2224 0.9439  1 Sm 3.29, 5 La 3.45-3.62, 1 Tb 3.57
Tb: 0.5257 0.7776 0.0561  1 Sm 3.29, 5 La 3.45-3.62, 1 Tb 3.57
Tb: 0.7313 0.2687 0.7500  1 La 3.07, 2 Sm 3.40
Tb: 0.7776 0.5257 0.5561  1 Sm 3.29, 5 La 3.45-3.62, 1 Tb 3.57
Sm: 0.0273 0.2844 0.0618  3 Tb 3.29-3.55, 4 La 3.46-3.60
Sm: 0.2844 0.0273 0.5618  3 Tb 3.29-3.55, 4 La 3.46-3.60
Sm: 0.7156 0.9727 0.4382  3 Tb 3.29-3.55, 4 La 3.46-3.60
Sm: 0.9727 0.7156 0.9382  3 Tb 3.29-3.55, 4 La 3.46-3.60

Values from the calculation:
Energy of formation = 0.158 eV per atom

# 2
Material: CaCuW3
Method: DFT, GGA-PBE
State: relaxed

Lattice parameters (Å, degrees): 4.5953 4.5953 4.5953 90.00 90.00 90.00
Closest atoms and distances in Å follow each position.
Sites, in units of the cell vectors:
Ca: 0.0000 0.0000 0.0000  6 W 2.30
Cu: 0.5000 0.5000 0.5000  12 W 3.25
W: 0.0000 0.0000 0.5000  2 Ca 2.30
W: 0.0000 0.5000 0.0000  2 Ca 2.30
W: 0.5000 0.0000 0.0000  2 Ca 2.30

Values from the calculation:
Energy above the lowest structure with this stoichiometry = 1543 meV/atom
Energy of formation = 3.311 eV per atom

# 3
Material: Ac14Co3Pd6
Method: DFT, GGA-PBE
State: relaxed

Lattice parameters (Å, degrees): 10.7056 10.7056 7.3853 90.00 90.00 120.00
Closest atoms and distances in Å follow each position.
Sites, in units of the cell vectors:
Ac: 0.0000 0.0000 0.0000  1 Co 2.63
Ac: 0.0771 0.5386 0.2522  1 Co 2.94, 2 Pd 3.11
Ac: 0.2065 0.4131 0.7706  1 Co 2.98, 3 Pd 3.15-3.19
Ac: 0.2065 0.7935 0.7706  1 Co 2.98, 3 Pd 3.15-3.19
Ac: 0.2487 0.1244 0.4368  1 Co 2.77
Ac: 0.4182 0.2091 0.9333  1 Co 2.77
Ac: 0.4614 0.5386 0.2522  1 Co 2.94, 2 Pd 3.11
Ac: 0.4614 0.9229 0.2522  1 Co 2.94, 2 Pd 3.11
Ac: 0.5869 0.7935 0.7706  1 Co 2.98, 3 Pd 3.15-3.19
Ac: 0.6667 0.3333 0.4952  1 Co 2.61
Ac: 0.7909 0.2091 0.9333  1 Co 2.77
Ac: 0.7909 0.5818 0.9333  1 Co 2.77
Ac: 0.8756 0.1244 0.4368  1 Co 2.77
Ac: 0.8756 0.7513 0.4368  1 Co 2.77
Co: 0.0000 0.0000 0.6436  4 Ac 2.63-2.77
Co: 0.3333 0.6667 0.0187  6 Ac 2.94-2.98
Co: 0.6667 0.3333 0.1416  4 Ac 2.61-2.77
Pd: 0.1471 0.2942 0.1753  6 Ac 3.02-3.19
Pd: 0.1471 0.8529 0.1753  6 Ac 3.02-3.19
Pd: 0.5202 0.0404 0.6726  6 Ac 3.02-3.29
Pd: 0.5202 0.4798 0.6726  6 Ac 3.02-3.29
Pd: 0.7058 0.8529 0.1753  6 Ac 3.02-3.19
Pd: 0.9596 0.4798 0.6726  6 Ac 3.02-3.29

Values from the calculation:
Energy of formation = -0.407 eV per atom

# 4
Material: Pr4Se3Cl4
Method: DFT, GGA-PBE
State: relaxed

Lattice parameters (Å, degrees): 9.7904 9.7904 9.7904 157.23 128.22 57.26
Closest atoms and distances in Å follow each position.
Sites, in units of the cell vectors:
Pr: 0.2309 0.0000 0.2309  6 Se 3.00-3.21, 2 Cl 3.07
Pr: 0.2309 0.2309 0.0000  6 Cl 2.87-2.99, 2 Se 3.03
Pr: 0.7691 0.0000 0.7691  6 Se 3.00-3.21, 2 Cl 3.07
Pr: 0.7691 0.7691 0.0000  6 Cl 2.87-2.99, 2 Se 3.03
Se: 0.0949 0.5949 0.5000  6 Pr 3.03-3.21, 1 Se 3.26
Se: 0.5000 0.5000 0.0000  4 Pr 3.00
Se: 0.9051 0.4051 0.5000  6 Pr 3.03-3.21, 1 Se 3.26
Cl: 0.1414 0.8263 0.3151  4 Pr 2.87-3.07, 1 Cl 3.16
Cl: 0.4888 0.1737 0.3151  4 Pr 2.87-3.07, 1 Cl 3.16
Cl: 0.5112 0.8263 0.6849  4 Pr 2.87-3.07, 1 Cl 3.16
Cl: 0.8586 0.1737 0.6849  4 Pr 2.87-3.07, 1 Cl 3.16

Values from the calculation:
E_form (uncorrected) = -21.75 eV per formula unit

# 5
Material: RbEuF2
Method: DFT, GGA-PBE
State: relaxed

Lattice parameters (Å, degrees): 3.3382 3.3382 7.3122 90.00 90.00 90.00
Closest atoms and distances in Å follow each position.
Sites, in units of the cell vectors:
Rb: 0.0000 0.0000 0.0000  8 F 2.94
Eu: 0.0000 0.0000 0.5000  8 F 3.03, 4 Eu 3.34
F: 0.5000 0.5000 0.2401  4 Rb 2.94, 4 Eu 3.03
F: 0.5000 0.5000 0.7599  4 Rb 2.94, 4 Eu 3.03

Values from the calculation:
Energy above the lowest structure with this stoichiometry = 401 meV/atom
E_form (uncorrected) = -9.05 eV per formula unit

# 6
Material: ReAsIr2
Method: DFT, GGA-PBE
State: relaxed

Lattice parameters (Å, degrees): 6.8293 6.8293 6.8293 131.91 131.91 70.37
Closest atoms and distances in Å follow each position.
Sites, in units of the cell vectors:
Re: 0.0000 0.0000 0.0000  4 Ir 2.41
Re: 0.7500 0.2500 0.5000  4 Ir 2.41
As: 0.2500 0.7500 0.5000  4 Ir 2.41
As: 0.5000 0.5000 0.0000  4 Ir 2.41
Ir: 0.1247 0.6250 0.9997  2 Re 2.41, 2 As 2.41
Ir: 0.3750 0.3747 0.4997  2 Re 2.41, 2 As 2.41
Ir: 0.6253 0.1250 0.0003  2 Re 2.41, 2 As 2.41
Ir: 0.8750 0.8753 0.5003  2 Re 2.41, 2 As 2.41

Values from the calculation:
Energy of formation = 0.547 eV per atom